Compound: AlAg
Source: Alexandria via LeMat-Bulk
Functional: PBE-GGA
Structure: relaxed

Lattice parameters (Å, degrees): 2.9623 2.9623 9.0344 90.00 90.00 120.00
Fractional coordinates of all 4 atoms:
1 Al 0.3333 0.6667 0.1237
2 Al 0.6667 0.3333 0.8763
3 Ag 0.3333 0.6667 0.6345
4 Ag 0.6667 0.3333 0.3655

## Properties
Magnetic moment, μB/f.u.: 0.0
ρ, kg/m3: 6523
Energy of formation, meV per atom: -15
Crystal system: trigonal
Space-group type: P-3m1, No. 164